# GGA-PBE RbTl2GaPb, optimized geometry
data_RbTl2GaPb
_chemical_formula_sum 'Rb1 Tl2 Ga1 Pb1'
_cell_length_a 5.785
_cell_length_b 5.785
_cell_length_c 5.652
_cell_angle_alpha 90.00
_cell_angle_beta 90.00
_cell_angle_gamma 90.00
_space_group_name_H-M_alt 'P 4/m m m'
_space_group_IT_number 123
_space_group_name_Hall '-P 4 2'
loop_
_atom_site_label
_atom_site_fract_x
_atom_site_fract_y
_atom_site_fract_z
Rb1 0.000 0.000 0.000
Tl1 0.000 0.500 0.500
Ga1 0.500 0.500 0.500
Pb1 0.500 0.500 0.000
# **Energy of formation**: 61 meV per atom
# **Final energy**: -2.43 eV/atom
# **Size of the total moment**: 0.00 μB per formula unit